(1)
# LiMgCuAs PBE-GGA optimized geometry
data_LiMgCuAs
_chemical_formula_sum 'Li1 Mg1 Cu1 As1'
_symmetry_space_group_name_H-M 'P 1'
_symmetry_Int_Tables_number 1
_cell_length_a 4.4425
_cell_length_b 4.4425
_cell_length_c 4.4425
_cell_angle_alpha 60.00
_cell_angle_beta 60.00
_cell_angle_gamma 60.00
loop_
_symmetry_equiv_pos_as_xyz
'x,y,z'
loop_
_atom_site_label
_atom_site_type_symbol
_atom_site_fract_x
_atom_site_fract_y
_atom_site_fract_z
Li1 Li 0.0000 0.0000 0.0000
Mg1 Mg 0.5000 0.5000 0.5000
Cu1 Cu 0.2500 0.2500 0.2500
As1 As 0.7500 0.7500 0.7500
# **E**: -12.84 eV for the cell shown
# **Density**: 4.55 g/cm3

(2)
# LiCuMoAs PBE-GGA optimized geometry
data_LiCuMoAs
_chemical_formula_sum 'Li1 Cu1 Mo1 As1'
_symmetry_space_group_name_H-M 'P 1'
_symmetry_Int_Tables_number 1
_cell_length_a 4.2370
_cell_length_b 4.2370
_cell_length_c 4.2370
_cell_angle_alpha 60.00
_cell_angle_beta 60.00
_cell_angle_gamma 60.00
loop_
_symmetry_equiv_pos_as_xyz
'x,y,z'
loop_
_atom_site_label
_atom_site_type_symbol
_atom_site_fract_x
_atom_site_fract_y
_atom_site_fract_z
Li1 Li 0.0000 0.0000 0.0000
Cu1 Cu 0.7500 0.7500 0.7500
Mo1 Mo 0.2500 0.2500 0.2500
As1 As 0.5000 0.5000 0.5000
# **E**: -20.36 eV for the cell shown
# **Density**: 7.45 g/cm3

(3)
# LiCuMoAs PBE-GGA optimized geometry
data_LiCuMoAs
_chemical_formula_sum 'Li1 Cu1 Mo1 As1'
_symmetry_space_group_name_H-M 'P 1'
_symmetry_Int_Tables_number 1
_cell_length_a 4.3473
_cell_length_b 4.3473
_cell_length_c 4.3473
_cell_angle_alpha 60.00
_cell_angle_beta 60.00
_cell_angle_gamma 60.00
loop_
_symmetry_equiv_pos_as_xyz
'x,y,z'
loop_
_atom_site_label
_atom_site_type_symbol
_atom_site_fract_x
_atom_site_fract_y
_atom_site_fract_z
Li1 Li 0.0000 0.0000 0.0000
Cu1 Cu 0.5000 0.5000 0.5000
Mo1 Mo 0.7500 0.7500 0.7500
As1 As 0.2500 0.2500 0.2500
# **E**: -19.16 eV for the cell shown
# **Density**: 6.90 g/cm3

(4)
# NaLi4CuAs2 PBE-GGA optimized geometry
data_NaLi4CuAs2
_chemical_formula_sum 'Na1 Li4 Cu1 As2'
_symmetry_space_group_name_H-M 'P 1'
_symmetry_Int_Tables_number 1
_cell_length_a 4.4266
_cell_length_b 4.4266
_cell_length_c 7.6900
_cell_angle_alpha 90.00
_cell_angle_beta 90.00
_cell_angle_gamma 120.00
loop_
_symmetry_equiv_pos_as_xyz
'x,y,z'
loop_
_atom_site_label
_atom_site_type_symbol
_atom_site_fract_x
_atom_site_fract_y
_atom_site_fract_z
Na1 Na 0.0000 0.0000 0.0000
Li1 Li 0.3333 0.6667 0.1652
Li2 Li 0.3333 0.6667 0.8348
Li3 Li 0.6667 0.3333 0.3331
Li4 Li 0.6667 0.3333 0.6669
Cu1 Cu 0.0000 0.0000 0.5000
As1 As 0.3333 0.6667 0.5000
As2 As 0.6667 0.3333 0.0000
# **E**: -25.66 eV for the cell shown
# **Density**: 3.36 g/cm3

(5)
# LiNbCuAs PBE-GGA optimized geometry
data_LiNbCuAs
_chemical_formula_sum 'Li1 Nb1 Cu1 As1'
_symmetry_space_group_name_H-M 'P 1'
_symmetry_Int_Tables_number 1
_cell_length_a 4.3727
_cell_length_b 4.3727
_cell_length_c 4.3727
_cell_angle_alpha 60.00
_cell_angle_beta 60.00
_cell_angle_gamma 60.00
loop_
_symmetry_equiv_pos_as_xyz
'x,y,z'
loop_
_atom_site_label
_atom_site_type_symbol
_atom_site_fract_x
_atom_site_fract_y
_atom_site_fract_z
Li1 Li 0.0000 0.0000 0.0000
Nb1 Nb 0.7500 0.7500 0.7500
Cu1 Cu 0.5000 0.5000 0.5000
As1 As 0.2500 0.2500 0.2500
# **E**: -19.00 eV for the cell shown
# **Density**: 6.69 g/cm3

(6)
# LiNbCuAs PBE-GGA optimized geometry
data_LiNbCuAs
_chemical_formula_sum 'Li1 Nb1 Cu1 As1'
_symmetry_space_group_name_H-M 'P 1'
_symmetry_Int_Tables_number 1
_cell_length_a 4.3397
_cell_length_b 4.3397
_cell_length_c 4.3397
_cell_angle_alpha 60.00
_cell_angle_beta 60.00
_cell_angle_gamma 60.00
loop_
_symmetry_equiv_pos_as_xyz
'x,y,z'
loop_
_atom_site_label
_atom_site_type_symbol
_atom_site_fract_x
_atom_site_fract_y
_atom_site_fract_z
Li1 Li 0.0000 0.0000 0.0000
Nb1 Nb 0.2500 0.2500 0.2500
Cu1 Cu 0.7500 0.7500 0.7500
As1 As 0.5000 0.5000 0.5000
# **E**: -19.91 eV for the cell shown
# **Density**: 6.85 g/cm3